The following is a PBE calculation of GaCu2Sn2 after structural relaxation, from Alexandria via LeMat-Bulk.

Unit cell a=4.661 b=4.661 c=10.081 alpha=90.00 beta=90.00 gamma=90.00
Space group I4/mmm (No. 139)
Asymmetric unit:
Ga (0.000, 0.000, 0.000) (multiplicity 2)
Cu (0.000, 0.000, 0.382) (multiplicity 4)
Sn (0.000, 0.500, 0.250) (multiplicity 4)

Values from the calculation:
Excess energy over the best structure of this formula in the dataset in meV/atom: 169
Energy of formation from the pure elements in eV per atom: 0.26
Total magnetic moment in Bohr magnetons per cell: 0.00
Total DFT energy (no corrections) in eV per atom: -3.590

---

The following is a PBE calculation of HgPCl after structural relaxation, from Alexandria via LeMat-Bulk.

Unit cell a=3.698 b=6.236 c=12.206 alpha=90.00 beta=90.00 gamma=90.00
Space group Fmm2 (No. 42)
Asymmetric unit:
Hg (0.000, 0.000, 0.000) (multiplicity 4)
P (0.000, 0.000, 0.356) (multiplicity 4)
Cl (0.000, 0.000, 0.660) (multiplicity 4)

Values from the calculation:
Excess energy over the best structure of this formula in the dataset in meV/atom: 639
Formation energy without anion corrections in eV/atom: 0.3903
Total magnetic moment in Bohr magnetons per cell: 0.00
Total DFT energy (no corrections) in eV per atom: -2.129

---

The following is a PBE calculation of NbNi2Sb after structural relaxation, from Alexandria via LeMat-Bulk.

Unit cell a=3.987 b=3.987 c=17.212 alpha=90.00 beta=90.00 gamma=90.00
Space group I-42d (No. 122)
Asymmetric unit:
Nb (0.000, 0.000, 0.000) (multiplicity 4)
Ni (0.242, 0.250, 0.125) (multiplicity 8)
Sb (0.000, 0.000, 0.500) (multiplicity 4)

Values from the calculation:
Formation energy without anion corrections in eV/atom: 0.2662
Total magnetic moment in Bohr magnetons per cell: 0.00
Total DFT energy (no corrections) in eV per atom: -6.172

---

The following is a PBE calculation of Dy2ZrCo2 after structural relaxation, from Alexandria via LeMat-Bulk.

Unit cell a=10.094 b=5.873 c=7.115 alpha=90.00 beta=101.29 gamma=90.00
Space group C2/c (No. 15)
Asymmetric unit:
Dy (0.150, 0.115, 0.148) (multiplicity 8)
Zr (0.000, 0.411, 0.750) (multiplicity 4)
Co (0.151, 0.344, 0.503) (multiplicity 8)

Values from the calculation:
Energy of formation from the pure elements in eV per atom: -0.24
Total magnetic moment in Bohr magnetons per cell: 0.00
Total DFT energy (no corrections) in eV per atom: -6.635

---

The following is a PBE calculation of Tb5Y5Ho2 after structural relaxation, from Alexandria via LeMat-Bulk.

Unit cell a=15.092 b=5.034 c=11.252 alpha=90.00 beta=116.55 gamma=90.00
Space group C2/m (No. 12)
Asymmetric unit:
Tb (0.000, 0.000, 0.000) (multiplicity 2)
Tb (0.082, 0.000, 0.750) (multiplicity 4)
Tb (0.167, 0.000, 0.500) (multiplicity 4)
Y (0.000, 0.500, 0.500) (multiplicity 2)
Y (0.166, 0.500, 0.000) (multiplicity 4)
Y (0.249, 0.000, 0.250) (multiplicity 4)
Ho (0.083, 0.500, 0.251) (multiplicity 4)

Values from the calculation:
Excess energy over the best structure of this formula in the dataset in meV/atom: 0
Energy of formation from the pure elements in eV per atom: 0.02
Total magnetic moment in Bohr magnetons per cell: 0.00
Total DFT energy (no corrections) in eV per atom: -5.366

---

The following is a PBE calculation of CdSi2Ge2 after structural relaxation, from Alexandria via LeMat-Bulk.

Unit cell a=3.708 b=3.708 c=14.492 alpha=90.00 beta=90.00 gamma=90.00
Space group I4/mmm (No. 139)
Asymmetric unit:
Cd (0.000, 0.000, 0.000) (multiplicity 2)
Si (0.000, 0.500, 0.250) (multiplicity 4)
Ge (0.000, 0.000, 0.380) (multiplicity 4)

Values from the calculation:
Excess energy over the best structure of this formula in the dataset in meV/atom: 52
Formation energy without anion corrections in eV/atom: 0.3237
Total magnetic moment in Bohr magnetons per cell: 0.00
Total DFT energy (no corrections) in eV per atom: -3.875